# 1
This record from Alexandria via LeMat-Bulk describes crystalline AsRh2Br at its relaxed geometry. The functional is PBE-GGA.

For the energy above the most stable polymorph in this dataset, the calculation gives 3.62 kcal/mol of atoms. As for the crystal system: monoclinic. As for the density of states at the Fermi level: 0.621 states/eV/atom. The total DFT energy (no corrections) is -5.292 eV per atom. The uncorrected formation energy is -0.04 eV per atom.

The space group is Pm (No. 6) and the conventional cell measures 3.919, 4.052 and 5.609 Å, with angles of 90.00, 90.29 and 90.00 degrees. Symmetry generates all atoms from As at (0.000, 0.000, 0.000), Rh at (0.002, 0.500, 0.225), Rh at (0.502, 0.000, 0.252) and Br at (0.504, 0.500, 0.539).

=====

# 2
This record from Alexandria via LeMat-Bulk describes crystalline AsRhBr2 at its relaxed geometry. The functional is PBE-GGA.

For the energy above the most stable polymorph in this dataset, the calculation gives 10.89 kcal/mol of atoms. As for the crystal system: monoclinic. As for the density of states at the Fermi level: 0.476 states/eV/atom. The total DFT energy (no corrections) is -3.795 eV per atom. The uncorrected formation energy is 0.04 eV per atom.

The space group is C2/m (No. 12) and the conventional cell measures 15.170, 3.404 and 4.103 Å, with angles of 90.00, 98.50 and 90.00 degrees. Symmetry generates all atoms from As at (0.000, 0.000, 0.000), Rh at (0.000, 0.500, 0.500) and Br at (0.143, 0.000, 0.705).

=====

# 3
This record from Alexandria via LeMat-Bulk describes crystalline AsRhBr2 at its relaxed geometry. The functional is PBE-GGA.

For the energy above the most stable polymorph in this dataset, the calculation gives 5.03 kcal/mol of atoms. As for the crystal system: trigonal. The total DFT energy (no corrections) is -4.049 eV per atom. The uncorrected formation energy is -0.21 eV per atom.

The space group is R3m (No. 160, hexagonal axes) and the conventional cell measures 3.6992, 3.6992 and 25.1305 Å, with angles of 90.00, 90.00 and 120.00 degrees. Symmetry generates all atoms from As at (0.0000, 0.0000, 0.0000), Rh at (0.0000, 0.0000, 0.2896), Br at (0.0000, 0.0000, 0.5584) and Br at (0.0000, 0.0000, 0.7504).

=====

# 4
This record from Alexandria via LeMat-Bulk describes crystalline AsRh2Br at its relaxed geometry. The functional is PBE-GGA.

For the energy above the most stable polymorph in this dataset, the calculation gives 6.90 kcal/mol of atoms. As for the crystal system: tetragonal. As for the density of states at the Fermi level: 0.287 states/eV/atom. The total DFT energy (no corrections) is -5.149 eV per atom. The uncorrected formation energy is 0.11 eV per atom.

The space group is I-42d (No. 122) and the conventional cell measures 5.107, 5.107 and 13.270 Å, with angles of 90.00, 90.00 and 90.00 degrees. Symmetry generates all atoms from As at (0.000, 0.000, 0.000), Rh at (0.205, 0.250, 0.125) and Br at (0.000, 0.000, 0.500).

=====

# 5
This record from Alexandria via LeMat-Bulk describes crystalline As2RhBr at its relaxed geometry. The functional is PBE-GGA.

For the energy above the most stable polymorph in this dataset, the calculation gives 9.12 kcal/mol of atoms. As for the crystal system: tetragonal. As for the density of states at the Fermi level: 0.323 states/eV/atom. The total DFT energy (no corrections) is -4.332 eV per atom. The uncorrected formation energy is 0.25 eV per atom.

The space group is I4/mmm (No. 139) and the conventional cell measures 5.298, 5.298 and 5.472 Å, with angles of 90.00, 90.00 and 90.00 degrees. Symmetry generates all atoms from As at (0.000, 0.500, 0.000), Rh at (0.000, 0.000, 0.000) and Br at (0.000, 0.000, 0.500).

=====

# 6
This record from Alexandria via LeMat-Bulk describes crystalline As2RhBr at its relaxed geometry. The functional is PBE-GGA.

For the energy above the most stable polymorph in this dataset, the calculation gives 0.84 kcal/mol of atoms. As for the crystal system: orthorhombic. As for the density of states at the Fermi level: 0.493 states/eV/atom. The total DFT energy (no corrections) is -4.691 eV per atom. The uncorrected formation energy is -0.11 eV per atom.

The space group is Cmmm (No. 65) and the conventional cell measures 5.031, 9.395 and 3.443 Å, with angles of 90.00, 90.00 and 90.00 degrees. Symmetry generates all atoms from As at (0.000, 0.193, 0.000), Rh at (0.000, 0.000, 0.500) and Br at (0.000, 0.500, 0.500).

=====

Q: What is the formula in the fifth record?
A: As2RhBr